DFT (PBE with a Hubbard U) results for a geometry-optimized KBaCr2O structure.

The structure in extended XYZ format:
```
5
Lattice="5.754 0.000 0.000 0.000 4.947 0.000 0.000 0.000 5.754" Properties=species:S:1:pos:R:3 pbc="T T T"
Ba 2.877 2.474 2.877
K 0.000 0.000 0.000
Cr 0.000 0.000 2.877
Cr 2.877 0.000 0.000
O 0.000 2.474 0.000
```

symmetry	P4/mmm, No. 123
total energy	-3.98	eV/atom
V	163.8	Å³ per cell
mass density	3.0	g cm⁻³
DOS(E_F)	1.521	states/eV/f.u.
size of the total moment	11.050	Bohr magnetons per cell
crystal system	tetragonal